RbBr3: optimized geometry, GGA-PBEsol. Values from VASP.

```
&SYSTEM
  ibrav = 0, nat = 4, ntyp = 2
/
ATOMIC_SPECIES
Rb 85.47 Rb.upf
Br 79.90 Br.upf
CELL_PARAMETERS angstrom
2.7986 1.6158 7.4715
-2.7986 1.6158 7.4715
0.0000 -3.2316 7.4715
ATOMIC_POSITIONS angstrom
Rb 0.0000 0.0000 0.0000
Br 0.0000 0.0000 8.6633
Br 0.0000 0.0000 11.2072
Br 0.0000 0.0000 13.7511
```

Energy: -10.14 eV per cell
Formation energy from raw total energies: -0.875 eV per atom
N(E_F): 0.00 states/eV/f.u.